# 1
Compound: BeSe2
Source: Alexandria
Functional: PBE
Structure: relaxed

Cell lengths 4.900, 5.955, 3.693 Å; angles 90.00, 90.00, 90.00 degrees
Fractional coordinates of all 6 atoms:
Be: 0.000 0.000 0.000
Be: 0.500 0.500 0.500
Se: 0.198 0.380 0.000
Se: 0.302 0.880 0.500
Se: 0.698 0.120 0.500
Se: 0.802 0.620 0.000

Summary:
space group	Pnnm, No. 58
ΔE_f (raw)	-249	meV per atom
energy relative to the lowest polymorph listed for this composition	121.0	meV/atom
uncorrected energy	-3.814	eV per atom


# 2
Compound: Be3Se
Source: Alexandria
Functional: PBE
Structure: relaxed

Cell lengths 3.221, 3.221, 4.543 Å; angles 90.00, 90.00, 90.00 degrees
Fractional coordinates of all 4 atoms:
Be: 0.000 0.000 0.000
Be: 0.500 0.500 0.232
Be: 0.500 0.500 0.768
Se: 0.000 0.000 0.500

Summary:
space group	P4/mmm, No. 123
ΔE_f (raw)	426	meV per atom
energy relative to the lowest polymorph listed for this composition	374.2	meV/atom
uncorrected energy	-3.240	eV per atom